1.
## Zr3FeCu2S8 (PBEsol)

Data for a relaxed Zr3FeCu2S8 crystal.

a = 7.075 Å, b = 7.075 Å, c = 7.075 Å
α = 61.09°, β = 61.09°, γ = 61.09°
Fractional coordinates of all 14 atoms:
Zr: 0.000 0.500 0.500
Zr: 0.500 0.000 0.500
Zr: 0.500 0.500 0.000
Fe: 0.500 0.500 0.500
Cu: 0.121 0.121 0.121
Cu: 0.879 0.879 0.879
S: 0.250 0.250 0.250
S: 0.262 0.734 0.734
S: 0.266 0.266 0.738
S: 0.266 0.738 0.266
S: 0.734 0.262 0.734
S: 0.734 0.734 0.262
S: 0.738 0.266 0.266
S: 0.750 0.750 0.750

* symmetry: R-3m

***

2.
## FeCu2Sb (PBEsol)

Data for a relaxed FeCu2Sb crystal.

a = 5.135 Å, b = 9.234 Å, c = 2.895 Å
α = 90.00°, β = 124.15°, γ = 90.00°
Fractional coordinates of all 8 atoms:
Fe: 0.000 0.000 0.000
Fe: 0.500 0.500 0.000
Cu: 0.250 0.250 0.500
Cu: 0.250 0.750 0.500
Cu: 0.750 0.250 0.500
Cu: 0.750 0.750 0.500
Sb: 0.000 0.500 0.000
Sb: 0.500 0.000 0.000

* symmetry: C2/m

***

3.
## FeCu2Sb (PBEsol)

Data for a relaxed FeCu2Sb crystal.

a = 3.748 Å, b = 3.748 Å, c = 3.888 Å
α = 90.00°, β = 90.00°, γ = 90.00°
Fractional coordinates of all 4 atoms:
Fe: 0.000 0.000 0.000
Cu: 0.000 0.500 0.500
Cu: 0.500 0.000 0.500
Sb: 0.500 0.500 0.000

* symmetry: P4/mmm

***

4.
## Fe2CuSb (PBEsol)

Data for a relaxed Fe2CuSb crystal.

a = 2.935 Å, b = 2.935 Å, c = 23.144 Å
α = 90.00°, β = 90.00°, γ = 120.00°
Fractional coordinates of all 12 atoms:
Fe: 0.000 0.000 0.245
Fe: 0.000 0.000 0.755
Fe: 0.333 0.667 0.421
Fe: 0.333 0.667 0.912
Fe: 0.667 0.333 0.088
Fe: 0.667 0.333 0.579
Cu: 0.000 0.000 0.500
Cu: 0.333 0.667 0.167
Cu: 0.667 0.333 0.833
Sb: 0.000 0.000 0.000
Sb: 0.333 0.667 0.667
Sb: 0.667 0.333 0.333

* symmetry: R-3m

***

| no. | E (eV per cell) | M_tot (μB per formula unit) | calculated volume (Å³/f.u.) |
| --- | --- | --- | --- |
| 1 | -95.4 | 0.06 | 256.6 |
| 2 | -41.8 | 1.80 | 56.8 |
| 3 | -21.5 | 2.31 | 54.6 |
| 4 | -73.5 | 4.45 | 57.6 |